5
Lattice="5.0146 0.0000 0.0000 0.0000 5.0146 0.0000 0.0000 0.0000 3.9832" Properties=species:S:1:pos:R:3 comment="FeAsSe2F | the Alexandria database | PBE+U | relaxed" relative_energy_mev_per_atom=235 magmom_total_mub_per_atom=0.89 dft_energy_ev_per_atom=-3.209 spacegroup="P4/mmm (123)" pbc="T T T"
Fe 2.5073 2.5073 1.9916
Se 0.0000 2.5073 0.0000
Se 2.5073 0.0000 0.0000
As 0.0000 0.0000 1.9916
F 0.0000 0.0000 0.0000